Nb2BiOs: optimized geometry, GGA-PBE.

Calculated values
volume = 74.2 Å³/cell
E = -8.41 eV/atom

```
Nb2BiOs
1.0
1.737 -3.367 2.809
-2.347 -1.269 3.889
-2.108 -4.214 0.212
Bi Nb Os
1 2 1
Direct
0.500 0.500 0.500
0.000 0.000 0.000
0.750 0.750 0.750
0.250 0.250 0.250
```



Nb2BiSbOs2: optimized geometry, GGA-PBE.

Calculated values
volume = 496.8 Å³/cell
E = -8.54 eV/atom

```
Nb2BiSbOs2
1.0
-5.509 -8.407 -4.187
2.427 -2.806 2.440
-5.015 3.506 9.023
Bi Nb Os Sb
4 8 8 4
Direct
0.876 0.000 0.374
0.624 0.000 0.625
0.001 0.500 0.752
0.375 0.000 0.877
0.250 0.500 0.004
0.625 0.000 0.125
0.002 0.500 0.249
0.374 0.000 0.373
0.748 0.500 0.498
0.127 0.000 0.623
0.500 0.500 0.750
0.875 0.000 0.879
0.001 0.500 0.006
0.373 0.000 0.128
0.745 0.500 0.246
0.129 0.000 0.374
0.496 0.500 0.496
0.874 0.000 0.624
0.252 0.500 0.745
0.630 0.000 0.879
0.750 0.500 0.001
0.125 0.000 0.125
0.499 0.500 0.250
0.250 0.500 0.498
```



PaNb2Bi2: optimized geometry, GGA-PBE.

Calculated values
volume = 119.5 Å³/cell
E = -7.34 eV/atom

```
PaNb2Bi2
1.0
-2.054 2.054 7.081
2.054 -2.054 7.081
2.054 2.054 -7.081
Bi Nb Pa
2 2 1
Direct
0.391 0.391 0.000
0.609 0.609 0.000
0.750 0.250 0.500
0.250 0.750 0.500
0.000 0.000 0.000
```



PaNbBi: optimized geometry, GGA-PBE.

Calculated values
ΔE to the lowest computed polymorph = 185 kJ/mol of formula units
volume = 88.6 Å³/cell
E = -6.79 eV/atom

```
PaNbBi
1.0
3.875 -1.246 2.909
0.161 1.553 4.754
-0.622 -3.281 3.726
Bi Nb Pa
1 1 1
Direct
0.250 0.250 0.250
0.750 0.750 0.750
0.000 0.000 0.000
```



PaNbBi: optimized geometry, GGA-PBE.

Calculated values
ΔE to the lowest computed polymorph = 0 kJ/mol of formula units
volume = 80.1 Å³/cell
E = -7.43 eV/atom

```
PaNbBi
1.0
0.000 3.421 3.421
3.421 0.000 3.421
3.421 3.421 0.000
Bi Nb Pa
1 1 1
Direct
0.250 0.250 0.250
0.000 0.000 0.000
0.750 0.750 0.750
```



NbBi2Pb: optimized geometry, GGA-PBE.

Calculated values
volume = 105.6 Å³/cell
E = -4.87 eV/atom

```
NbBi2Pb
1.0
0.000 3.752 3.752
3.752 0.000 3.752
3.752 3.752 0.000
Bi Nb Pb
2 1 1
Direct
0.250 0.250 0.250
0.500 0.500 0.500
0.000 0.000 0.000
0.750 0.750 0.750
```



Nb3Bi5Pd5: optimized geometry, GGA-PBE.

Calculated values
volume = 318.4 Å³/cell
E = -5.96 eV/atom

```
Nb3Bi5Pd5
1.0
6.438 0.000 0.000
3.219 7.012 0.000
3.219 0.025 7.053
Bi Nb Pd
5 3 5
Direct
0.686 0.000 0.000
0.873 0.427 0.228
0.096 0.825 0.404
0.325 0.175 0.596
0.527 0.573 0.772
0.192 0.000 0.000
0.399 0.401 0.200
0.000 0.599 0.800
0.540 0.696 0.081
0.756 0.115 0.277
0.991 0.500 0.500
0.148 0.885 0.723
0.316 0.304 0.919
```



Nb2BiPd: optimized geometry, GGA-PBE.

Calculated values
volume = 77.2 Å³/cell
E = -7.07 eV/atom

```
Nb2BiPd
1.0
2.227 -1.202 4.054
-2.482 -0.391 4.064
-0.736 -4.302 1.945
Bi Nb Pd
1 2 1
Direct
0.500 0.500 0.500
0.000 0.000 0.000
0.750 0.750 0.750
0.250 0.250 0.250
```



PuNbBi: optimized geometry, GGA-PBE.

Calculated values
volume = 75.4 Å³/cell
E = -9.01 eV/atom

```
PuNbBi
1.0
0.000 3.354 3.354
3.354 0.000 3.354
3.354 3.354 0.000
Bi Nb Pu
1 1 1
Direct
0.250 0.250 0.250
0.000 0.000 0.000
0.750 0.750 0.750
```



RbNbBi: optimized geometry, GGA-PBE.

Calculated values
ΔE to the lowest computed polymorph = 0 kJ/mol of formula units
volume = 101.5 Å³/cell
E = -4.09 eV/atom

```
RbNbBi
1.0
0.000 3.702 3.702
3.702 0.000 3.702
3.702 3.702 0.000
Bi Nb Rb
1 1 1
Direct
0.250 0.250 0.250
0.000 0.000 0.000
0.750 0.750 0.750
```



RbNb3Bi5: optimized geometry, GGA-PBE.

Calculated values
volume = 272.8 Å³/cell
E = -5.83 eV/atom

```
RbNb3Bi5
1.0
5.884 0.000 0.000
-2.942 5.095 0.000
0.000 0.000 9.098
Bi Nb Rb
5 3 1
Direct
0.667 0.333 0.226
0.333 0.667 0.226
0.000 0.000 0.500
0.667 0.333 0.774
0.333 0.667 0.774
0.500 0.000 0.500
0.000 0.500 0.500
0.500 0.500 0.500
0.000 0.000 0.000
```



RbNbBi: optimized geometry, GGA-PBE.

Calculated values
ΔE to the lowest computed polymorph = 205 kJ/mol of formula units
volume = 112.4 Å³/cell
E = -3.38 eV/atom

```
RbNbBi
1.0
0.000 3.831 3.831
3.831 0.000 3.831
3.831 3.831 0.000
Bi Nb Rb
1 1 1
Direct
0.250 0.250 0.250
0.750 0.750 0.750
0.000 0.000 0.000
```



NbRe2Bi: optimized geometry, GGA-PBE.

Calculated values
volume = 71.6 Å³/cell
E = -8.97 eV/atom

```
NbRe2Bi
1.0
0.000 3.296 3.296
3.296 0.000 3.296
3.296 3.296 0.000
Bi Nb Re
1 1 2
Direct
0.500 0.500 0.500
0.250 0.250 0.250
0.000 0.000 0.000
0.750 0.750 0.750
```



Nb2ReBi: optimized geometry, GGA-PBE.

Calculated values
volume = 74.6 Å³/cell
E = -8.68 eV/atom

```
Nb2ReBi
1.0
0.000 3.341 3.341
3.341 0.000 3.341
3.341 3.341 0.000
Bi Nb Re
1 2 1
Direct
0.500 0.500 0.500
0.000 0.000 0.000
0.750 0.750 0.750
0.250 0.250 0.250
```



NbRe3Bi2: optimized geometry, GGA-PBE.

Calculated values
volume = 113.8 Å³/cell
E = -8.34 eV/atom

```
NbRe3Bi2
1.0
3.209 0.000 0.000
-1.605 2.779 0.000
0.000 0.000 12.760
Bi Nb Re
2 1 3
Direct
0.667 0.333 0.169
0.333 0.667 0.831
0.000 0.000 0.500
0.000 0.000 0.000
0.333 0.667 0.349
0.667 0.333 0.651
```



NbBiSb: optimized geometry, GGA-PBE.

Calculated values
ΔE to the lowest computed polymorph = 0 kJ/mol of formula units
volume = 82.9 Å³/cell
E = -5.71 eV/atom

```
NbBiSb
1.0
-4.089 0.644 2.610
0.211 0.127 4.888
-0.750 4.214 2.373
Bi Nb Sb
1 1 1
Direct
0.250 0.250 0.250
0.000 0.000 0.000
0.750 0.750 0.750
```



ScNb2Bi: optimized geometry, GGA-PBE.

Calculated values
volume = 80.8 Å³/cell
E = -7.61 eV/atom

```
ScNb2Bi
1.0
4.587 -1.582 0.111
0.920 -4.756 0.293
1.849 -2.354 -3.821
Bi Nb Sc
1 2 1
Direct
0.500 0.500 0.500
0.000 0.000 0.000
0.750 0.750 0.750
0.250 0.250 0.250
```



NbSiBi: optimized geometry, GGA-PBE.

Calculated values
volume = 67.7 Å³/cell
E = -5.91 eV/atom

```
NbSiBi
1.0
0.000 3.234 3.234
3.234 0.000 3.234
3.234 3.234 0.000
Bi Nb Si
1 1 1
Direct
0.250 0.250 0.250
0.750 0.750 0.750
0.000 0.000 0.000
```



TaNbSi2Bi2: optimized geometry, GGA-PBE.

Calculated values
volume = 118.0 Å³/cell
E = -6.94 eV/atom

```
TaNbSi2Bi2
1.0
-1.522 -2.913 1.783
3.065 -0.303 2.121
-3.402 5.248 5.667
Bi Nb Si Ta
2 1 2 1
Direct
0.500 0.500 0.377
0.000 0.000 0.622
0.000 0.000 0.229
0.500 0.000 0.000
0.000 0.500 0.000
0.500 0.500 0.772
```



SmNbBi: optimized geometry, GGA-PBE.

Calculated values
volume = 86.2 Å³/cell
E = -5.98 eV/atom

```
SmNbBi
1.0
0.000 3.507 3.507
3.507 0.000 3.507
3.507 3.507 0.000
Bi Nb Sm
1 1 1
Direct
0.000 0.000 0.000
0.250 0.250 0.250
0.750 0.750 0.750
```